(1)
Below is a relaxed structure of CoReAg4, with properties calculated at the GGA-PBEsol level.

Lattice parameters (Å, degrees): 5.1562 5.1562 5.1562 60.00 60.00 60.00
Each line ends with the local moment (μB).
Element x y z (fractional)
Co: 0.2500 0.2500 0.2500  1.82
Ag: 0.1249 0.6250 0.6250  0.01
Ag: 0.6250 0.6250 0.6250  0.01
Ag: 0.6250 0.6250 0.1249  0.01
Ag: 0.6250 0.1249 0.6250  0.01
Re: 0.0000 0.0000 0.0000  1.41

Properties
ΔE_f: 1.03 eV/atom
space group: F-43m, No. 216
calculated volume: 97 Å³ per cell

---

(2)
Below is a relaxed structure of CaMg2Br, with properties calculated at the GGA-PBEsol level.

Lattice parameters (Å, degrees): 3.5240 4.9347 6.3319 90.00 90.00 90.00
Element x y z (fractional)
Ca: 0.0000 0.5000 0.5000
Br: 0.5000 0.0000 0.5000
Mg: 0.5000 0.5000 0.0000
Mg: 0.0000 0.0000 0.0000

Properties
ΔE_f (raw): -0.454 eV per atom
space group: Pmmm, No. 47
calculated volume: 110 Å³ per cell

---

E (computed, eV/atom): -4.686; -2.313